Compound: CeTh10Sc4
Source: Alexandria
Functional: GGA-PBE
Structure: optimized geometry

a b c (Å): 11.7183 11.7183 7.3350
angles (deg): 90.00 90.00 90.00
Space group I4/m (No. 87)
Unique sites:
1 Ce 0.0000 0.0000 0.0000 (multiplicity 2)
2 Th 0.0000 0.5000 0.2500 (multiplicity 4)
3 Th 0.1026 0.7996 0.2489 (multiplicity 16)
4 Sc 0.0983 0.2993 0.5000 (multiplicity 8)

Summary:
Calculated formation energy in eV/atom: 0.69

***

Compound: TaV2Ag2S6
Source: Alexandria
Functional: GGA-PBE
Structure: optimized geometry

a b c (Å): 5.7165 10.1256 7.7951
angles (deg): 90.00 104.61 90.00
Space group C2/m (No. 12)
Unique sites:
1 Ta 0.0000 0.0000 0.0000 (multiplicity 2)
2 V 0.0000 0.3670 0.0000 (multiplicity 4)
3 Ag 0.0000 0.1837 0.5000 (multiplicity 4)
4 S 0.0937 0.5000 0.7888 (multiplicity 4)
5 S 0.1102 0.1765 0.8180 (multiplicity 8)

Summary:
Formation energy from raw total energies in eV per formula unit: -7.78

***

Compound: CdTc2Mo
Source: Alexandria
Functional: GGA-PBE
Structure: optimized geometry

a b c (Å): 2.8062 2.8062 28.5111
angles (deg): 90.00 90.00 120.00
Space group R3m (No. 160, hexagonal axes)
Unique sites:
1 Cd 0.0000 0.0000 0.0000 (multiplicity 3)
2 Tc 0.0000 0.0000 0.2447 (multiplicity 3)
3 Tc 0.0000 0.0000 0.5048 (multiplicity 3)
4 Mo 0.0000 0.0000 0.7572 (multiplicity 3)

Summary:
Calculated formation energy in eV/atom: 0.25